# 1
# MnHCl3

MnHCl3 after structural relaxation (PBE-GGA, Alexandria).

Results
N(E_F) ... 0.15 states/eV per atom
Density ... 3.15 g cm⁻³
Total DFT energy (no corrections) ... -3.419 eV per atom

Structure (POSCAR):
```
MnHCl3
1.0
4.4055 0.0000 0.0000
0.0000 4.4055 0.0000
0.0000 0.0000 4.4055
H Mn Cl
1 1 3
Direct
0.0000 0.0000 0.0000
0.5000 0.5000 0.5000
0.0000 0.5000 0.0000
0.0000 0.0000 0.5000
0.5000 0.0000 0.0000
```

# 2
# MnH2Cl2

MnH2Cl2 after structural relaxation (PBE-GGA, Alexandria).

Results
N(E_F) ... 0.44 states/eV per atom
Density ... 2.50 g cm⁻³
Total DFT energy (no corrections) ... -3.987 eV per atom

Structure (POSCAR):
```
MnH2Cl2
1.0
0.2002 -4.0319 -3.0869
1.1970 3.3480 -3.6309
3.3363 -0.4487 0.0256
Mn H Cl
1 2 2
Direct
0.0000 0.0000 0.0000
0.2226 0.7774 0.0000
0.7774 0.2226 0.0000
0.2373 0.2373 0.3984
0.7627 0.7627 0.6016
```

# 3
# MnH2Cl8

MnH2Cl8 after structural relaxation (PBE-GGA, Alexandria).

Results
N(E_F) ... 0.71 states/eV per atom
Density ... 1.81 g cm⁻³
Total DFT energy (no corrections) ... -3.192 eV per atom

Structure (POSCAR):
```
MnH2Cl8
1.0
5.2835 -0.1238 -0.1029
-0.1314 8.0194 1.0592
-0.1314 2.5075 7.6906
Mn H Cl
1 2 8
Direct
0.0000 0.0000 0.0000
0.2013 0.2629 0.2629
0.7987 0.7371 0.7371
0.7802 0.1014 0.7323
0.2198 0.2677 0.8986
0.7194 0.1198 0.1198
0.2806 0.8802 0.8802
0.7802 0.7323 0.1014
0.2198 0.8986 0.2677
0.2473 0.3563 0.3563
0.7527 0.6437 0.6437
```